[1]
Here is a relaxed structure of CdGa2SiBi from the Alexandria database. Energies are from PBE.

Lattice parameters (Å, degrees): 4.8853 4.8853 5.1846 90.00 90.00 90.00
Closest atoms and distances in Å follow each position.
Fractional positions:
Cd  0.0000  0.0000  0.0000  2 Si 2.59
Ga  0.0000  0.5000  0.5000  2 Si 2.44
Ga  0.5000  0.0000  0.5000  2 Si 2.44
Si  0.0000  0.0000  0.5000  4 Ga 2.44, 2 Cd 2.59
Bi  0.5000  0.5000  0.0000  4 Cd 3.45, 8 Ga 3.56

Summary:
Formation energy (no corrections), kJ/mol of formula units: 148
M_tot, Bohr magnetons per cell: 0.000
Space group: P4/mmm, No. 123


[2]
Here is a relaxed structure of NpHIr from the Alexandria database. Energies are from PBE.

Lattice parameters (Å, degrees): 5.1143 5.1143 5.1143 145.44 145.44 49.68
Closest atoms and distances in Å follow each position.
Fractional positions:
Np  0.0000  0.0000  0.0000  4 H 2.27
H  0.4225  0.4225  0.0000  4 Np 2.27
Ir  0.7123  0.7123  0.0000  5 Np 2.67-2.92, 5 H 2.69-2.90

Summary:
Energy above the lowest structure with this stoichiometry, meV per atom: 126
M_tot, Bohr magnetons per cell: 3.336
Space group: I4mm, No. 107


[3]
Here is a relaxed structure of PmMg2CdHg4 from the Alexandria database. Energies are from PBE.

Lattice parameters (Å, degrees): 9.4122 9.4122 9.4122 30.37 30.37 30.37
Closest atoms and distances in Å follow each position.
Fractional positions:
Pm  0.0000  0.0000  0.0000  8 Hg 3.15-3.31
Mg  0.2450  0.2450  0.2450  7 Hg 3.00-3.28
Mg  0.7550  0.7550  0.7550  7 Hg 3.00-3.28
Cd  0.5000  0.5000  0.5000  8 Hg 3.08-3.15
Hg  0.1231  0.1231  0.1231  4 Mg 3.00-3.28, 3 Cd 3.08, 1 Pm 3.31
Hg  0.3830  0.3830  0.3830  3 Mg 3.03, 3 Pm 3.15, 1 Cd 3.15
Hg  0.6170  0.6170  0.6170  3 Mg 3.03, 3 Pm 3.15, 1 Cd 3.15
Hg  0.8769  0.8769  0.8769  4 Mg 3.00-3.28, 3 Cd 3.08, 1 Pm 3.31

Summary:
M_tot, Bohr magnetons per cell: 0.000
Formation enthalpy at 0 K, eV per atom: -0.270
Space group: R-3m, No. 166


[4]
Here is a relaxed structure of Tm2VCo2 from the Alexandria database. Energies are from PBE.

Lattice parameters (Å, degrees): 5.4259 5.4259 7.0700 99.31 99.31 60.74
Closest atoms and distances in Å follow each position.
Fractional positions:
Tm  0.0290  0.2688  0.1466  6 Co 2.84-3.01, 1 V 3.10
Tm  0.2688  0.0290  0.6466  6 Co 2.84-3.01, 1 V 3.10
Tm  0.7312  0.9710  0.3534  6 Co 2.84-3.01, 1 V 3.10
Tm  0.9710  0.7312  0.8534  6 Co 2.84-3.01, 1 V 3.10
V  0.4075  0.5925  0.2500  4 Co 2.34-2.35
V  0.5925  0.4075  0.7500  4 Co 2.34-2.35
Co  0.2309  0.5039  0.4983  2 V 2.34-2.35, 1 Co 2.53
Co  0.4961  0.7691  0.0017  2 V 2.34-2.35, 1 Co 2.53
Co  0.5039  0.2309  0.9983  2 V 2.34-2.35, 1 Co 2.53
Co  0.7691  0.4961  0.5017  2 V 2.34-2.35, 1 Co 2.53

Summary:
M_tot, Bohr magnetons per cell: 0.000
Formation enthalpy at 0 K, eV per atom: -0.214
Space group: C2/c, No. 15


[5]
Here is a relaxed structure of Tb3HgRh from the Alexandria database. Energies are from PBE.

Lattice parameters (Å, degrees): 5.5558 6.2542 8.6795 101.06 99.71 114.80
Closest atoms and distances in Å follow each position.
Fractional positions:
Tb  0.0494  0.1865  0.2852  2 Rh 2.88-2.92, 1 Hg 3.13
Tb  0.2887  0.4445  0.7316  2 Rh 2.83-2.84, 1 Hg 3.11
Tb  0.3019  0.8039  0.1088  3 Rh 2.89-3.20
Tb  0.6981  0.1961  0.8912  3 Rh 2.89-3.20
Tb  0.7113  0.5555  0.2684  2 Rh 2.83-2.84, 1 Hg 3.11
Tb  0.9506  0.8135  0.7148  2 Rh 2.88-2.92, 1 Hg 3.13
Hg  0.3436  0.7455  0.4817  1 Hg 2.84, 2 Tb 3.11-3.13
Hg  0.6564  0.2545  0.5183  1 Hg 2.84, 2 Tb 3.11-3.13
Rh  0.2438  0.2417  0.9964  6 Tb 2.83-2.93, 1 Rh 3.12
Rh  0.7562  0.7583  0.0036  6 Tb 2.83-2.93, 1 Rh 3.12

Summary:
Energy above the lowest structure with this stoichiometry, meV per atom: 25
M_tot, Bohr magnetons per cell: 0.000
Formation enthalpy at 0 K, eV per atom: -0.543
Space group: P-1, No. 2


[6]
Here is a relaxed structure of MnSi2Tc from the Alexandria database. Energies are from PBE.

Lattice parameters (Å, degrees): 3.9421 4.5665 4.5665 38.68 90.00 90.00
Closest atoms and distances in Å follow each position.
Fractional positions:
Mn  0.0000  0.0000  0.0000  7 Si 2.38-2.51
Si  0.0000  0.7238  0.7238  3 Mn 2.38-2.45, 4 Tc 2.51, 2 Si 2.51
Si  0.5000  0.5428  0.5428  3 Tc 2.37-2.46, 4 Mn 2.51, 2 Si 2.51
Tc  0.5000  0.2675  0.2675  7 Si 2.37-2.51

Summary:
Energy above the lowest structure with this stoichiometry, meV per atom: 8
Formation energy (no corrections), kJ/mol of formula units: -137
M_tot, Bohr magnetons per cell: 1.447
Space group: Amm2, No. 38


Results for E_tot: -2.948; -8.251; -1.527; -6.669; -4.852; -7.952 (in eV per atom, following the order of the records).
Results for N(E_F): 0.5932; 1.5212; 0.3961; 1.0282; 0.8251; 0.4293 (in states/eV/atom, following the order of the records).